(1)
{
  "formula": "La3Dy4Tm2",
  "functional": "PBE",
  "state": "optimized geometry",
  "ef_ev_per_atom": 0.11,
  "energy_ev_per_atom": -4.572,
  "lattice": [[5.841, -2.880, 0.000], [5.841, 2.880, 0.000], [-1.835, 0.000, 8.931]],
  "species": ["La", "La", "La", "Dy", "Dy", "Dy", "Dy", "Tm", "Tm"],
  "frac_coords": [[0.000, 0.000, 0.000], [0.130, 0.130, 0.692], [0.870, 0.870, 0.308], [0.224, 0.224, 0.369], [0.324, 0.324, 0.037], [0.676, 0.676, 0.963], [0.776, 0.776, 0.631], [0.442, 0.442, 0.689], [0.558, 0.558, 0.311]]
}

=====

(2)
{
  "formula": "La3Dy2Tm4",
  "functional": "PBE",
  "state": "optimized geometry",
  "ef_ev_per_atom": 0.08,
  "energy_ev_per_atom": -4.577,
  "lattice": [[4.934, -8.547, 0.000], [4.934, 8.547, 0.000], [0.000, 0.000, 3.491]],
  "species": ["La", "La", "La", "Dy", "Dy", "Tm", "Tm", "Tm", "Tm"],
  "frac_coords": [[0.000, 0.000, 0.000], [0.331, 0.669, 0.000], [0.669, 0.331, 0.000], [0.334, 0.334, 0.500], [0.666, 0.666, 0.500], [0.000, 0.333, 0.500], [0.000, 0.667, 0.500], [0.333, 0.000, 0.500], [0.667, 0.000, 0.500]]
}